Record 1
Here is a relaxed Mg2ZnSe2S crystal from Alexandria. Energies are from PBE-GGA.

Properties
- N(E_F): 0.00 states/eV per cell
- Formation energy from raw total energies: -1.1097 eV per atom

```
Mg2ZnSe2S
1.0
-1.9516 -6.1916 1.2977
0.9506 -1.7353 -6.8498
5.4130 -0.7321 4.6474
Se Mg Zn S
4 4 2 2
Cartesian
3.2523 -2.6442 2.4175 Se
2.6086 -6.3462 0.6736 Se
0.9635 -6.6377 -3.1916 Se
1.6072 -2.9358 -1.4477 Se
2.1446 -2.8730 -3.9810 Mg
3.7996 -2.5841 -0.1138 Mg
2.4919 -5.0739 2.9270 Mg
0.8369 -5.3628 -0.9401 Mg
-0.5080 -5.6410 -4.9349 Zn
-0.1939 -1.3374 -0.8160 Zn
-1.4433 -5.3073 0.0069 S
0.1917 -3.4150 -5.3923 S
```

***

Record 2
Here is a relaxed LaPmPrDy crystal from Alexandria. Energies are from PBE-GGA.

Properties
- N(E_F): 8.54 states/eV per cell
- E_form: 0.114 eV/atom

```
LaPmPrDy
1.0
-0.6236 -4.9416 3.0296
0.5699 -5.1495 -2.6729
4.6412 -3.3540 1.0937
La Pr Pm Dy
1 1 1 1
Cartesian
1.1469 -3.3613 0.3626 La
3.4406 -10.0838 1.0878 Pr
0.0000 0.0000 0.0000 Pm
2.2937 -6.7225 0.7252 Dy
```

***

Record 3
Here is a relaxed LuZr2Bi crystal from Alexandria. Energies are from PBE-GGA.

Properties
- Energy above the most stable polymorph in this dataset: 0.0000 eV per atom
- N(E_F): 4.55 states/eV per cell
- E_form: -0.193 eV/atom

```
LuZr2Bi
1.0
-3.8319 -0.0088 3.1440
0.6217 -4.3278 0.7457
2.7438 0.9708 3.3469
Lu Zr Bi
1 2 1
Cartesian
-1.9160 -0.0044 1.5720 Lu
0.3109 -2.1639 0.3728 Zr
1.3719 0.4854 1.6734 Zr
-0.2332 -1.6829 3.6183 Bi
```

***

Number 1: total energy -3.70 eV/atom. Number 2: total energy -4.65 eV/atom. Number 3: total energy -6.57 eV/atom.